Version 1
HgPbF2: relaxed, PBE.

Lattice parameters (Å, degrees): 8.4772 8.4772 8.4772 23.07 23.07 23.07
Element x y z (fractional)
1 F 0.9056 0.9056 0.9056
2 Pb 0.0000 0.0000 0.0000
3 Hg 0.5000 0.5000 0.5000
4 F 0.0944 0.0944 0.0944

- Space-group type: No. 166
- Magnetic moment: 0.000 μB/atom


Version 2
HgPbF2: relaxed, PBE.

Lattice parameters (Å, degrees): 4.7034 4.7034 4.7034 60.00 60.00 60.00
Element x y z (fractional)
1 F 0.7500 0.7500 0.7500
2 F 0.2500 0.2500 0.2500
3 Hg 0.0000 0.0000 0.0000
4 Pb 0.5000 0.5000 0.5000

- Space-group type: No. 225
- Magnetic moment: 0.000 μB/atom


Energetically preferred structure: version 2 | next structure: +18.8 kJ/mol of atoms